(1)
Entry from the Alexandria database: a relaxed structure of SmMg6 (PBE).

Lattice parameters (Å, degrees): 6.658 6.658 6.658 109.47 109.47 109.47
Positions (direct):
1 Sm 0.000 0.000 0.000
2 Mg 0.250 0.500 0.750
3 Mg 0.250 0.750 0.500
4 Mg 0.500 0.250 0.750
5 Mg 0.500 0.750 0.250
6 Mg 0.750 0.250 0.500
7 Mg 0.750 0.500 0.250

Results
- Calculated volume: 227.24 Å³ per cell
- Excess energy over the best structure of this formula in the dataset: 0.708 eV per atom
- Formation energy from the elements: 0.69 eV/atom



(2)
Entry from the Alexandria database: a relaxed structure of Sm2Mg (PBE).

Lattice parameters (Å, degrees): 8.899 8.899 5.573 90.00 90.00 155.40
Positions (direct):
1 Sm 0.089 0.911 0.750
2 Sm 0.228 0.772 0.250
3 Sm 0.772 0.228 0.750
4 Sm 0.911 0.089 0.250
5 Mg 0.432 0.568 0.750
6 Mg 0.568 0.432 0.250

Results
- Calculated volume: 183.74 Å³ per cell
- Excess energy over the best structure of this formula in the dataset: 0.000 eV per atom
- Formation energy from the elements: -0.06 eV/atom



(3)
Entry from the Alexandria database: a relaxed structure of SmMg (PBE).

Lattice parameters (Å, degrees): 3.850 3.850 3.850 90.00 90.00 90.00
Positions (direct):
1 Sm 0.000 0.000 0.000
2 Mg 0.500 0.500 0.500

Results
- Calculated volume: 57.08 Å³ per cell
- Formation energy from the elements: -0.10 eV/atom



(4)
Entry from the Alexandria database: a relaxed structure of SmMg3 (PBE).

Lattice parameters (Å, degrees): 5.220 5.220 5.220 120.18 120.18 89.68
Positions (direct):
1 Sm 0.000 0.000 0.000
2 Mg 0.250 0.750 0.500
3 Mg 0.500 0.500 0.000
4 Mg 0.750 0.250 0.500

Results
- Calculated volume: 100.28 Å³ per cell
- Formation energy from the elements: -0.11 eV/atom



(5)
Entry from the Alexandria database: a relaxed structure of SmMg2 (PBE).

Lattice parameters (Å, degrees): 6.097 6.097 6.097 60.00 60.00 60.00
Positions (direct):
1 Sm 0.125 0.125 0.125
2 Sm 0.875 0.875 0.875
3 Mg 0.000 0.500 0.500
4 Mg 0.500 0.000 0.500
5 Mg 0.500 0.500 0.000
6 Mg 0.500 0.500 0.500

Results
- Calculated volume: 160.23 Å³ per cell
- Formation energy from the elements: -0.10 eV/atom



(6)
Entry from the Alexandria database: a relaxed structure of SmMg4 (PBE).

Lattice parameters (Å, degrees): 5.947 5.947 5.947 90.00 90.00 90.00
Positions (direct):
1 Sm 0.000 0.000 0.000
2 Mg 0.000 0.000 0.500
3 Mg 0.000 0.500 0.000
4 Mg 0.500 0.000 0.000
5 Mg 0.500 0.500 0.500

Results
- Calculated volume: 210.36 Å³ per cell
- Formation energy from the elements: 1.04 eV/atom



(7)
Entry from the Alexandria database: a relaxed structure of Sm2Mg (PBE).

Lattice parameters (Å, degrees): 13.425 13.425 13.425 163.76 163.76 23.04
Positions (direct):
1 Sm 0.304 0.554 0.750
2 Sm 0.446 0.696 0.750
3 Sm 0.554 0.304 0.250
4 Sm 0.696 0.446 0.250
5 Mg 0.125 0.875 0.250
6 Mg 0.875 0.125 0.750

Results
- Calculated volume: 189.11 Å³ per cell
- Excess energy over the best structure of this formula in the dataset: 0.183 eV per atom
- Formation energy from the elements: 0.12 eV/atom



(8)
Entry from the Alexandria database: a relaxed structure of Sm2Mg5 (PBE).

Lattice parameters (Å, degrees): 8.817 8.817 8.817 129.44 71.12 133.49
Positions (direct):
1 Sm 0.103 0.192 0.296
2 Sm 0.397 0.692 0.089
3 Sm 0.603 0.308 0.911
4 Sm 0.897 0.808 0.704
5 Mg 0.017 0.750 0.267
6 Mg 0.129 0.754 0.884
7 Mg 0.250 0.750 0.500
8 Mg 0.371 0.254 0.625
9 Mg 0.483 0.750 0.733
10 Mg 0.517 0.250 0.267
11 Mg 0.629 0.746 0.375
12 Mg 0.750 0.250 0.500
13 Mg 0.871 0.246 0.116
14 Mg 0.983 0.250 0.733

Results
- Calculated volume: 376.05 Å³ per cell
- Formation energy from the elements: -0.02 eV/atom